Entry from the Alexandria database: a geometry-optimized ZrAg2Cl structure (PBE-GGA).

Results
Space-group type: No. 12
Excess energy over the best structure of this formula in the dataset, kcal/mol of atoms: 6.23

a b c (Å): 5.7385 5.7385 3.0527
angles (deg): 90.05 90.05 125.56
With the nearest neighbours (Å) after each atom.
Fractional coordinates of all 4 atoms:
Zr1 0.0000 0.0000 0.0000  2 Cl 2.62
Ag1 0.0000 0.5000 0.5000  2 Ag 2.62
Ag2 0.5000 0.0000 0.5000  2 Ag 2.62
Cl1 0.5000 0.5000 0.0000  2 Zr 2.62